VASP calculation (PBE) on an optimized crystal structure of Li2HoAg.

abc: 3.1480 3.1480 31.1073
angles: 90.00 90.00 120.00
Last column: nearest neighbours and their distance in Å.
Space group R-3m (No. 166, hexagonal axes)
Inequivalent atoms, fractional coordinates:
Li (0.0000, 0.0000, 0.0986) (multiplicity 6)  3 Ag 2.79, 1 Ho 3.07
Ho (0.0000, 0.0000, 0.0000) (multiplicity 3)  2 Li 3.07, 6 Ho 3.15
Ag (0.0000, 0.0000, 0.5000) (multiplicity 3)  6 Li 2.79

VASP energy = -2.6846 eV/atom
excess energy over the best structure of this formula in the dataset = 166 meV per atom
energy of formation from the pure elements = 0.130 eV per atom